No. 1
AcTb2Dy8 | PBE | optimized geometry

Cell: 19.382 7.042 5.501 Å, 90.00 93.20 90.00°
Space group C2/m (No. 12)
Asymmetric unit:
Ac1 0.000 0.000 0.000 [2 per cell]
Tb1 0.215 0.500 0.247 [4 per cell]
Dy1 0.047 0.500 0.240 [4 per cell]
Dy2 0.136 0.269 0.730 [8 per cell]
Dy3 0.190 0.000 0.234 [4 per cell]

Energy of formation from the pure elements ... 0.13 eV/atom
Density of states at the Fermi level ... 17.6 states/eV/f.u.
Crystal system ... monoclinic

---

No. 2
HfFe3As | PBE | optimized geometry

Cell: 4.602 4.602 4.602 Å, 90.00 90.00 90.00°
Space group Pm-3m (No. 221)
Asymmetric unit:
Hf1 0.000 0.000 0.000 [1 per cell]
Fe1 0.000 0.000 0.500 [3 per cell]
As1 0.500 0.500 0.500 [1 per cell]

Energy of formation from the pure elements ... 1.51 eV/atom
Density of states at the Fermi level ... 6.7 states/eV/f.u.
Crystal system ... cubic
Polymorph energy (0 for the lowest one) ... 1106 meV/atom

---

No. 3
AgTeHN2 | PBE | optimized geometry

Cell: 4.174 4.174 3.589 Å, 90.00 90.00 90.00°
Space group P4/mmm (No. 123)
Asymmetric unit:
Ag1 0.000 0.000 0.000 [1 per cell]
Te1 0.500 0.500 0.000 [1 per cell]
H1 0.500 0.500 0.500 [1 per cell]
N1 0.000 0.500 0.500 [2 per cell]

Density of states at the Fermi level ... 2.1 states/eV/f.u.
Crystal system ... tetragonal
Polymorph energy (0 for the lowest one) ... 0 meV/atom

---

No. 4
NaAc3Tc | PBE | optimized geometry

Cell: 7.006 11.299 18.416 Å, 90.00 90.00 90.00°
Space group Fmmm (No. 69)
Asymmetric unit:
Na1 0.206 0.000 0.000 [8 per cell]
Ac1 0.000 0.000 0.201 [8 per cell]
Ac2 0.000 0.184 0.374 [16 per cell]
Tc1 0.250 0.250 0.250 [8 per cell]

Energy of formation from the pure elements ... 0.15 eV/atom
Density of states at the Fermi level ... 5.7 states/eV/f.u.
Crystal system ... orthorhombic
Polymorph energy (0 for the lowest one) ... 46 meV/atom

---

Energy (eV per atom)
-4.433; -6.484; -3.258; -4.650